[1]
Material: Gd2HoIn3AgPt2
Method: DFT, PBE-GGA
State: optimized geometry

The structure in POSCAR format:
```
Gd2HoIn3AgPt2
1.0
3.790 0.000 0.000
0.000 6.780 3.920
0.000 -6.780 3.920
Ag Gd Ho In Pt
1 2 1 3 2
Cartesian
0.000 0.000 7.834
0.000 2.780 1.607
0.000 -2.780 1.607
0.000 0.000 4.623
1.895 0.000 2.106
1.895 1.812 6.784
1.895 -1.812 6.784
1.895 2.238 3.926
1.895 -2.238 3.926
```

## Properties
Symmetry: No. 38
Energy (Ha/atom): -0.1815

[2]
Material: AcHfB
Method: DFT, PBE-GGA
State: optimized geometry

The structure in POSCAR format:
```
AcHfB
1.0
0.000 3.241 3.241
3.241 0.000 3.241
3.241 3.241 0.000
Ac B Hf
1 1 1
Cartesian
0.000 0.000 0.000
4.862 4.862 4.862
3.241 3.241 3.241
```

## Properties
Symmetry: No. 216
Energy (Ha/atom): -0.2338

[3]
Material: AuSeO6
Method: DFT, PBE-GGA
State: optimized geometry

The structure in POSCAR format:
```
AuSeO6
1.0
0.000 3.597 3.597
3.597 0.000 3.597
3.597 3.597 0.000
Au O Se
1 6 1
Cartesian
1.798 1.798 1.798
1.772 3.597 3.597
3.597 1.772 3.597
3.597 3.597 5.422
3.597 3.597 1.772
3.597 5.422 3.597
5.422 3.597 3.597
0.000 0.000 0.000
```

## Properties
Symmetry: No. 216
Energy (Ha/atom): -0.1434

[4]
Material: Pa3Ta3Cd2
Method: DFT, PBE-GGA
State: optimized geometry

The structure in POSCAR format:
```
Pa3Ta3Cd2
1.0
2.832 1.635 6.784
-2.832 1.635 6.784
0.000 -3.271 6.784
Cd Pa Ta
2 3 3
Cartesian
0.000 0.000 4.355
0.000 0.000 15.996
0.000 0.000 1.353
0.000 0.000 10.176
0.000 0.000 18.998
0.000 1.635 6.784
1.416 -0.818 6.784
-1.416 -0.818 6.784
```

## Properties
Symmetry: No. 166
Energy (Ha/atom): -0.2875
DFT formation energy (meV per atom): 406

[5]
Material: ZnPbSO
Method: DFT, PBE-GGA
State: optimized geometry

The structure in POSCAR format:
```
ZnPbSO
1.0
3.507 0.000 0.000
-1.753 3.037 0.000
0.000 0.000 13.853
O Pb S Zn
2 2 2 2
Cartesian
0.000 0.000 4.168
0.000 0.000 11.095
0.000 0.000 6.862
0.000 0.000 13.789
1.753 1.012 1.696
0.000 2.024 8.623
0.000 2.025 3.727
1.753 1.012 10.653
```

## Properties
Symmetry: No. 186
Energy (Ha/atom): -0.1502

[6]
Material: PrBrO
Method: DFT, PBE-GGA
State: optimized geometry

The structure in POSCAR format:
```
PrBrO
1.0
-2.317 3.296 -0.181
-0.345 -0.022 4.018
6.791 4.807 0.609
Br O Pr
2 2 2
Cartesian
2.306 1.632 0.207
3.158 4.815 2.322
5.631 6.454 0.519
6.617 4.795 2.618
-0.343 2.336 2.007
5.801 4.106 0.521
```

## Properties
Symmetry: No. 129
Energy (Ha/atom): -0.2442